1.
## Ho4RuPt2 (PBE)

Data for a relaxed structure of Ho4RuPt2.

Calculated values
- Final energy: -91.5 eV for the cell shown
- Total magnetization: 0.0 μB/cell
- Energy of formation from the pure elements: -0.872 eV/atom
- Fermi-level density of states: 10.0 states/eV per cell

The structure in CIF format:
```
data_Ho4RuPt2
_chemical_formula_sum 'Ho8 Ru2 Pt4'
_cell_length_a 6.8908
_cell_length_b 9.7604
_cell_length_c 4.7868
_cell_angle_alpha 90.00
_cell_angle_beta 90.00
_cell_angle_gamma 90.00
_space_group_name_H-M_alt 'C m m m'
_space_group_IT_number 65
_space_group_name_Hall '-C 2 2'
loop_
_atom_site_label
_atom_site_fract_x
_atom_site_fract_y
_atom_site_fract_z
Ho1 0.2485 0.0000 0.0000
Ho2 0.2500 0.2500 0.5000
Ru1 0.0000 0.0000 0.5000
Pt1 0.0000 0.2493 0.0000
```


2.
## Ho6Ru2Pt (PBE)

Data for a relaxed structure of Ho6Ru2Pt.

Calculated values
- ΔE to the lowest computed polymorph: 0.0478 eV/atom
- Final energy: -112.8 eV for the cell shown
- Total magnetization: 0.0 μB/cell
- Energy of formation from the pure elements: -0.481 eV/atom
- Fermi-level density of states: 12.8 states/eV per cell

The structure in CIF format:
```
data_Ho6Ru2Pt
_chemical_formula_sum 'Ho12 Ru4 Pt2'
_cell_length_a 6.5789
_cell_length_b 7.3661
_cell_length_c 11.3756
_cell_angle_alpha 90.00
_cell_angle_beta 123.52
_cell_angle_gamma 90.00
_space_group_name_H-M_alt 'P 1 21/c 1'
_space_group_IT_number 14
_space_group_name_Hall '-P 2ybc'
loop_
_atom_site_label
_atom_site_fract_x
_atom_site_fract_y
_atom_site_fract_z
Ho1 0.0741 0.0546 0.2387
Ho2 0.2251 0.6752 0.0751
Ho3 0.3936 0.1670 0.0684
Ru1 0.3010 0.1169 0.7655
Pt1 0.5000 0.0000 0.5000
```


3.
## Ho4Ru2Pt (PBE)

Data for a relaxed structure of Ho4Ru2Pt.

Calculated values
- ΔE to the lowest computed polymorph: 0.0000 eV/atom
- Final energy: -141.2 eV for the cell shown
- Total magnetization: 0.0 μB/cell
- Energy of formation from the pure elements: -0.596 eV/atom
- Fermi-level density of states: 11.2 states/eV per cell

The structure in CIF format:
```
data_Ho4Ru2Pt
_chemical_formula_sum 'Ho12 Ru6 Pt3'
_cell_length_a 4.8053
_cell_length_b 4.8053
_cell_length_c 23.4606
_cell_angle_alpha 90.00
_cell_angle_beta 90.00
_cell_angle_gamma 120.00
_space_group_name_H-M_alt 'R -3 m'
_space_group_IT_number 166
_space_group_name_Hall '-R 3 2"'
loop_
_atom_site_label
_atom_site_fract_x
_atom_site_fract_y
_atom_site_fract_z
Ho1 0.0000 0.0000 0.1223
Ho2 0.0000 0.0000 0.3729
Ru1 0.0000 0.0000 0.2484
Pt1 0.0000 0.0000 0.5000
```


4.
## Ho5RuPt2 (PBE)

Data for a relaxed structure of Ho5RuPt2.

Calculated values
- Final energy: -101.7 eV for the cell shown
- Total magnetization: 0.0 μB/cell
- Energy of formation from the pure elements: -0.823 eV/atom
- Fermi-level density of states: 11.7 states/eV per cell

The structure in CIF format:
```
data_Ho5RuPt2
_chemical_formula_sum 'Ho10 Ru2 Pt4'
_cell_length_a 7.6786
_cell_length_b 11.9134
_cell_length_c 4.2161
_cell_angle_alpha 90.00
_cell_angle_beta 90.00
_cell_angle_gamma 90.00
_space_group_name_H-M_alt 'P b a m'
_space_group_IT_number 55
_space_group_name_Hall '-P 2 2ab'
loop_
_atom_site_label
_atom_site_fract_x
_atom_site_fract_y
_atom_site_fract_z
Ho1 0.0000 0.0000 0.0000
Ho2 0.1624 0.2986 0.0000
Ho3 0.1765 0.5900 0.5000
Ru1 0.0000 0.5000 0.0000
Pt1 0.0431 0.8278 0.5000
```


5.
## Ho2Si3RuPt4 (PBE)

Data for a relaxed structure of Ho2Si3RuPt4.

Calculated values
- Final energy: -67.7 eV for the cell shown
- Total magnetization: 0.0 μB/cell
- Uncorrected formation energy: -0.883 eV/atom
- Fermi-level density of states: 7.2 states/eV per cell

The structure in CIF format:
```
data_Ho2Si3RuPt4
_chemical_formula_sum 'Ho2 Si3 Ru1 Pt4'
_cell_length_a 3.9968
_cell_length_b 3.9968
_cell_length_c 10.9092
_cell_angle_alpha 90.00
_cell_angle_beta 90.00
_cell_angle_gamma 90.00
_space_group_name_H-M_alt 'P -4 m 2'
_space_group_IT_number 115
_space_group_name_Hall 'P -4 -2'
loop_
_atom_site_label
_atom_site_fract_x
_atom_site_fract_y
_atom_site_fract_z
Ho1 0.0000 0.5000 0.2470
Si1 0.0000 0.5000 0.8664
Si2 0.5000 0.5000 0.5000
Ru1 0.0000 0.0000 0.5000
Pt1 0.0000 0.0000 0.0000
Pt2 0.0000 0.5000 0.6533
Pt3 0.5000 0.5000 0.0000
```


6.
## HoSi2RuPt4 (PBE)

Data for a relaxed structure of HoSi2RuPt4.

Calculated values
- Final energy: -52.9 eV for the cell shown
- Total magnetization: 1.0 μB/cell
- Uncorrected formation energy: -0.500 eV/atom
- Fermi-level density of states: 4.5 states/eV per cell

The structure in CIF format:
```
data_HoSi2RuPt4
_chemical_formula_sum 'Ho1 Si2 Ru1 Pt4'
_cell_length_a 3.8931
_cell_length_b 3.8931
_cell_length_c 9.4094
_cell_angle_alpha 90.00
_cell_angle_beta 90.00
_cell_angle_gamma 90.00
_space_group_name_H-M_alt 'P 4/m m m'
_space_group_IT_number 123
_space_group_name_Hall '-P 4 2'
loop_
_atom_site_label
_atom_site_fract_x
_atom_site_fract_y
_atom_site_fract_z
Ho1 0.0000 0.0000 0.0000
Si1 0.5000 0.5000 0.3786
Ru1 0.0000 0.0000 0.5000
Pt1 0.0000 0.5000 0.2354
```